1.
# ThZnRuRh

ThZnRuRh after structural relaxation (PBE-GGA, Alexandria).

a = 3.729 Å, b = 4.316 Å, c = 4.426 Å
α = 90.00°, β = 90.00°, γ = 90.00°
Fractional positions:
Ru (0.500, 0.500, 0.000)
Zn (0.000, 0.500, 0.500)
Rh (0.500, 0.000, 0.500)
Th (0.000, 0.000, 0.000)

Results
The calculation puts the volume at 71 Å³/cell.



2.
# ThZnRuRh

ThZnRuRh after structural relaxation (PBE-GGA, Alexandria).

a = 4.679 Å, b = 4.679 Å, c = 4.679 Å
α = 60.00°, β = 60.00°, γ = 60.00°
Fractional positions:
Ru (0.000, 0.000, 0.000)
Th (0.250, 0.250, 0.250)
Rh (0.500, 0.500, 0.500)
Zn (0.750, 0.750, 0.750)

Results
The calculation puts the volume at 72 Å³/cell.



Least stable structure: 2



1.
# Ti2RuRh2

Ti2RuRh2 after structural relaxation (PBE-GGA, Alexandria).

a = 7.210 Å, b = 7.210 Å, c = 2.927 Å
α = 90.00°, β = 90.00°, γ = 90.00°
Fractional positions:
Rh (0.133, 0.367, 0.000)
Ti (0.169, 0.669, 0.500)
Ru (0.500, 0.500, 0.000)
Rh (0.367, 0.867, 0.000)
Ru (0.000, 0.000, 0.000)
Ti (0.669, 0.831, 0.500)
Ti (0.831, 0.331, 0.500)
Rh (0.633, 0.133, 0.000)
Ti (0.331, 0.169, 0.500)
Rh (0.867, 0.633, 0.000)

Results
The calculation puts the volume at 152 Å³/cell.



2.
# Ti2RuRh2

Ti2RuRh2 after structural relaxation (PBE-GGA, Alexandria).

a = 7.086 Å, b = 7.086 Å, c = 3.021 Å
α = 90.00°, β = 90.00°, γ = 90.00°
Fractional positions:
Rh (0.643, 0.857, 0.500)
Ru (0.500, 0.500, 0.000)
Ti (0.840, 0.660, 0.000)
Rh (0.357, 0.143, 0.500)
Ti (0.660, 0.160, 0.000)
Ru (0.000, 0.000, 0.000)
Rh (0.857, 0.357, 0.500)
Rh (0.143, 0.643, 0.500)
Ti (0.340, 0.840, 0.000)
Ti (0.160, 0.340, 0.000)

Results
The calculation puts the volume at 152 Å³/cell.



Least stable structure: 1



1.
# TiRu3Rh

TiRu3Rh after structural relaxation (PBE-GGA, Alexandria).

a = 4.428 Å, b = 4.428 Å, c = 4.428 Å
α = 90.00°, β = 90.00°, γ = 90.00°
Fractional positions:
Ru (0.000, 0.000, 0.500)
Ru (0.000, 0.500, 0.000)
Rh (0.500, 0.500, 0.500)
Ti (0.000, 0.000, 0.000)
Ru (0.500, 0.000, 0.000)

Results
The calculation puts the volume at 87 Å³/cell.



2.
# TiRu3Rh

TiRu3Rh after structural relaxation (PBE-GGA, Alexandria).

a = 4.611 Å, b = 4.611 Å, c = 4.611 Å
α = 90.00°, β = 90.00°, γ = 90.00°
Fractional positions:
Rh (0.000, 0.000, 0.000)
Ru (0.000, 0.000, 0.500)
Ti (0.500, 0.500, 0.500)
Ru (0.000, 0.500, 0.000)
Ru (0.500, 0.000, 0.000)

Results
The calculation puts the volume at 98 Å³/cell.



Least stable structure: 2



1.
# Tl2RuRh

Tl2RuRh after structural relaxation (PBE-GGA, Alexandria).

a = 4.420 Å, b = 3.385 Å, c = 5.398 Å
α = 71.29°, β = 90.00°, γ = 90.00°
Fractional positions:
Rh (0.000, 0.716, 0.450)
Tl (0.000, 0.983, 0.902)
Tl (0.500, 0.268, 0.346)
Ru (0.500, 0.533, 0.802)

Results
The calculation puts the volume at 76 Å³/cell.



2.
# Tl2RuRh

Tl2RuRh after structural relaxation (PBE-GGA, Alexandria).

a = 7.399 Å, b = 7.399 Å, c = 6.022 Å
α = 52.09°, β = 52.09°, γ = 90.00°
Fractional positions:
Ru (0.500, 0.500, 0.000)
Rh (0.000, 0.000, 0.000)
Tl (0.122, 0.625, 0.250)
Tl (0.628, 0.125, 0.250)
Ru (0.250, 0.750, 0.500)
Tl (0.875, 0.878, 0.750)
Rh (0.750, 0.250, 0.500)
Tl (0.375, 0.372, 0.750)

Results
The calculation puts the volume at 163 Å³/cell.



3.
# Tl2RuRh

Tl2RuRh after structural relaxation (PBE-GGA, Alexandria).

a = 8.635 Å, b = 8.635 Å, c = 8.635 Å
α = 21.48°, β = 21.48°, γ = 21.48°
Fractional positions:
Ru (0.750, 0.750, 0.750)
Tl (0.500, 0.500, 0.500)
Tl (0.000, 0.000, 0.000)
Rh (0.250, 0.250, 0.250)

Results
The calculation puts the volume at 76 Å³/cell.



4.
# Tl2RuRh

Tl2RuRh after structural relaxation (PBE-GGA, Alexandria).

a = 4.755 Å, b = 4.755 Å, c = 4.755 Å
α = 60.00°, β = 60.00°, γ = 60.00°
Fractional positions:
Rh (0.500, 0.500, 0.500)
Ru (0.750, 0.750, 0.750)
Tl (0.250, 0.250, 0.250)
Tl (0.000, 0.000, 0.000)

Results
The calculation puts the volume at 76 Å³/cell.



Least stable structure: 2



1.
# Tl2RuRh

Tl2RuRh after structural relaxation (PBE-GGA, Alexandria).

a = 4.623 Å, b = 4.623 Å, c = 5.539 Å
α = 78.05°, β = 78.05°, γ = 40.91°
Fractional positions:
Tl (0.500, 0.500, 0.499)
Rh (0.750, 0.750, 0.750)
Ru (0.250, 0.250, 0.250)
Tl (0.000, 0.000, 0.001)

Results
The calculation puts the volume at 76 Å³/cell.



2.
# Tl2RuRh

Tl2RuRh after structural relaxation (PBE-GGA, Alexandria).

a = 7.374 Å, b = 4.653 Å, c = 3.330 Å
α = 89.99°, β = 63.17°, γ = 129.12°
Fractional positions:
Tl (0.000, 0.000, 0.000)
Rh (0.000, 0.500, 0.500)
Ru (0.500, 0.500, 0.000)
Tl (0.500, 0.000, 0.500)

Results
The calculation puts the volume at 72 Å³/cell.



3.
# Tl2RuRh

Tl2RuRh after structural relaxation (PBE-GGA, Alexandria).

a = 5.543 Å, b = 5.543 Å, c = 5.543 Å
α = 137.98°, β = 137.98°, γ = 60.93°
Fractional positions:
Tl (0.000, 0.000, 0.000)
Rh (0.500, 0.500, 0.000)
Tl (0.250, 0.750, 0.500)
Ru (0.750, 0.250, 0.500)

Results
The calculation puts the volume at 75 Å³/cell.



4.
# Tl2RuRh

Tl2RuRh after structural relaxation (PBE-GGA, Alexandria).

a = 3.079 Å, b = 3.079 Å, c = 8.551 Å
α = 90.00°, β = 90.00°, γ = 90.00°
Fractional positions:
Tl (0.000, 0.000, 0.954)
Ru (0.500, 0.500, 0.710)
Rh (0.000, 0.000, 0.543)
Tl (0.500, 0.500, 0.293)

Results
The calculation puts the volume at 81 Å³/cell.



Least stable structure: 3



1.
# Tl2RuRh

Tl2RuRh after structural relaxation (PBE-GGA, Alexandria).

a = 3.340 Å, b = 5.217 Å, c = 4.363 Å
α = 90.00°, β = 90.00°, γ = 90.00°
Fractional positions:
Tl (0.500, 0.500, 0.000)
Tl (0.000, 0.000, 0.000)
Rh (0.500, 0.000, 0.500)
Ru (0.000, 0.500, 0.500)

Results
The calculation puts the volume at 76 Å³/cell.



2.
# Tl2RuRh

Tl2RuRh after structural relaxation (PBE-GGA, Alexandria).

a = 4.672 Å, b = 4.672 Å, c = 4.672 Å
α = 60.00°, β = 60.00°, γ = 60.00°
Fractional positions:
Tl (0.250, 0.250, 0.250)
Rh (0.500, 0.500, 0.500)
Tl (0.750, 0.750, 0.750)
Ru (0.000, 0.000, 0.000)

Results
The calculation puts the volume at 72 Å³/cell.



3.
# Tl2RuRh

Tl2RuRh after structural relaxation (PBE-GGA, Alexandria).

a = 6.332 Å, b = 6.332 Å, c = 6.332 Å
α = 152.14°, β = 137.75°, γ = 51.37°
Fractional positions:
Rh (0.552, 0.552, 0.000)
Tl (0.965, 0.965, 0.000)
Ru (0.744, 0.244, 0.500)
Tl (0.239, 0.739, 0.500)

Results
The calculation puts the volume at 79 Å³/cell.



Least stable structure: 1